Computed, not measured: a crystal of ZnCl2O relaxed with PBEsol at the SCAN level of DFT.

Summary:
space group	No. 122
raw formation energy	-0.284	eV per atom

a = 5.9596 Å, b = 5.9596 Å, c = 5.9596 Å
α = 114.20°, β = 114.20°, γ = 100.38°
Fractional coordinates of all 8 atoms:
Zn1 0.0000 0.0000 0.0000
Zn2 0.7500 0.2500 0.5000
Cl1 0.0740 0.6250 0.9490
Cl2 0.3750 0.3240 0.4490
Cl3 0.6760 0.1250 0.0510
Cl4 0.8750 0.9260 0.5510
O1 0.2500 0.7500 0.5000
O2 0.5000 0.5000 0.0000

=====

Computed, not measured: a crystal of Zr3ClO relaxed with PBEsol at the SCAN level of DFT.

Summary:
space group	No. 221
raw formation energy	-0.731	eV per atom

a = 4.4221 Å, b = 4.4221 Å, c = 4.4221 Å
α = 90.00°, β = 90.00°, γ = 90.00°
Fractional coordinates of all 5 atoms:
Zr1 0.0000 0.0000 0.5000
Zr2 0.0000 0.5000 0.0000
Zr3 0.5000 0.0000 0.0000
Cl1 0.5000 0.5000 0.5000
O1 0.0000 0.0000 0.0000

=====

Computed, not measured: a crystal of OsCl2 relaxed with PBEsol at the SCAN level of DFT.

Summary:
space group	No. 63
raw formation energy	0.295	eV per atom

a = 7.1226 Å, b = 7.1226 Å, c = 4.9774 Å
α = 90.00°, β = 90.00°, γ = 151.10°
Fractional coordinates of all 6 atoms:
Os1 0.2110 0.7890 0.7500
Os2 0.7890 0.2110 0.2500
Cl1 0.1763 0.8237 0.2500
Cl2 0.4010 0.5990 0.2500
Cl3 0.5990 0.4010 0.7500
Cl4 0.8237 0.1763 0.7500